FeCuSi3 | Alexandria via LeMat-Bulk | GGA-PBEsol | optimized geometry; density of states at the Fermi level = 4.508 states/eV/cell; energy relative to the elements, uncorrected = 0.404 eV per atom; VASP energy = -5.703 eV/atom
1.0
4.276 0.000 0.000
0.000 4.276 0.000
0.000 0.000 4.276
Si Fe Cu
3 1 1
Direct
0.000 0.500 0.000
0.000 0.000 0.500
0.500 0.000 0.000
0.000 0.000 0.000
0.500 0.500 0.500